Arrangement w

First-principles (GGA-PBE) data for an optimized crystal structure of YErTmSc, as listed in Alexandria.

abc: 4.899 4.899 9.752
angles: 90.00 90.00 90.00
Space group I-4m2 (No. 119)
Symmetry-distinct sites (fractional):
Y: 0.000 0.000 0.000
Er: 0.000 0.500 0.250
Tm: 0.000 0.500 0.750
Sc: 0.000 0.000 0.500

Summary:
- density of states at the Fermi level (states/eV per cell) = 12.9

Arrangement x

First-principles (GGA-PBE) data for an optimized crystal structure of YErTmSc, as listed in Alexandria.

abc: 7.796 7.796 7.796
angles: 90.00 90.00 90.00
Space group F-43m (No. 216)
Symmetry-distinct sites (fractional):
Y: 0.000 0.000 0.000
Er: 0.000 0.000 0.500
Tm: 0.250 0.250 0.750
Sc: 0.250 0.250 0.250

Summary:
- density of states at the Fermi level (states/eV per cell) = 35.4

Stability check: which of them is least stable? arrangement x.

Arrangement w

First-principles (GGA-PBE) data for an optimized crystal structure of ErTmScZn, as listed in Alexandria.

abc: 7.305 7.305 7.305
angles: 90.00 90.00 90.00
Space group F-43m (No. 216)
Symmetry-distinct sites (fractional):
Er: 0.000 0.000 0.000
Tm: 0.000 0.000 0.500
Sc: 0.250 0.250 0.750
Zn: 0.250 0.250 0.250

Summary:
- density of states at the Fermi level (states/eV per cell) = 17.0

Arrangement x

First-principles (GGA-PBE) data for an optimized crystal structure of ErTmScZn, as listed in Alexandria.

abc: 3.471 3.471 8.238
angles: 90.00 90.00 90.00
Space group P4mm (No. 99)
Symmetry-distinct sites (fractional):
Er: 0.000 0.000 0.000
Tm: 0.000 0.000 0.566
Sc: 0.500 0.500 0.284
Zn: 0.500 0.500 0.781

Summary:
- density of states at the Fermi level (states/eV per cell) = 4.3

Stability check: which of them is least stable? arrangement w.

Arrangement w

First-principles (GGA-PBE) data for an optimized crystal structure of ErTmZrSc, as listed in Alexandria.

abc: 4.737 4.737 9.446
angles: 90.00 90.00 90.00
Space group I-4m2 (No. 119)
Symmetry-distinct sites (fractional):
Er: 0.000 0.000 0.000
Tm: 0.000 0.500 0.750
Zr: 0.000 0.500 0.250
Sc: 0.000 0.000 0.500

Summary:
- density of states at the Fermi level (states/eV per cell) = 11.7

Arrangement x

First-principles (GGA-PBE) data for an optimized crystal structure of ErTmZrSc, as listed in Alexandria.

abc: 7.539 7.539 7.539
angles: 90.00 90.00 90.00
Space group F-43m (No. 216)
Symmetry-distinct sites (fractional):
Er: 0.000 0.000 0.000
Tm: 0.250 0.250 0.750
Zr: 0.000 0.000 0.500
Sc: 0.250 0.250 0.250

Summary:
- density of states at the Fermi level (states/eV per cell) = 35.0

Stability check: which of them is least stable? arrangement x.

Arrangement w

First-principles (GGA-PBE) data for an optimized crystal structure of ErSc2V, as listed in Alexandria.

abc: 3.1775 3.1775 32.3451
angles: 90.00 90.00 120.00
Space group R-3m (No. 166, hexagonal axes)
Symmetry-distinct sites (fractional):
Er: 0.0000 0.0000 0.0000
Sc: 0.0000 0.0000 0.4192
V: 0.0000 0.0000 0.5000

Summary:
- density of states at the Fermi level (states/eV per cell) = 18.7

Arrangement x

First-principles (GGA-PBE) data for an optimized crystal structure of ErSc2V, as listed in Alexandria.

abc: 3.435 3.435 7.985
angles: 90.00 90.00 90.00
Space group P4/mmm (No. 123)
Symmetry-distinct sites (fractional):
Er: 0.000 0.000 0.000
Sc: 0.500 0.500 0.302
V: 0.000 0.000 0.500

Summary:
- density of states at the Fermi level (states/eV per cell) = 5.1

Stability check: which of them is least stable? arrangement w.

Arrangement w

First-principles (GGA-PBE) data for an optimized crystal structure of Y6ErSc2, as listed in Alexandria.

abc: 5.528 9.541 20.646
angles: 90.00 90.00 90.00
Space group Ibam (No. 72)
Symmetry-distinct sites (fractional):
Y: 0.000 0.000 0.081
Y: 0.011 0.333 0.164
Er: 0.000 0.000 0.250
Sc: 0.008 0.333 0.500

Summary:
- density of states at the Fermi level (states/eV per cell) = 71.2

Arrangement x

First-principles (GGA-PBE) data for an optimized crystal structure of Y6ErSc2, as listed in Alexandria.

abc: 5.937 9.422 11.243
angles: 90.00 118.06 90.00
Space group P2_1/c (No. 14)
Symmetry-distinct sites (fractional):
Y: 0.002 0.157 0.434
Y: 0.400 0.679 0.413
Y: 0.415 0.023 0.329
Er: 0.000 0.000 0.000
Sc: 0.191 0.145 0.758

Summary:
- density of states at the Fermi level (states/eV per cell) = 33.7

Stability check: which of them is least stable? arrangement x.

Arrangement w

First-principles (GGA-PBE) data for an optimized crystal structure of YEr2Sc7, as listed in Alexandria.

abc: 5.764 5.794 8.840
angles: 102.54 108.88 99.75
Space group P-1 (No. 2)
Symmetry-distinct sites (fractional):
Y: 0.000 0.000 0.000
Er: 0.206 0.604 0.207
Sc: 0.000 0.500 0.500
Sc: 0.199 0.094 0.695
Sc: 0.399 0.696 0.897
Sc: 0.402 0.202 0.403

Summary:
- density of states at the Fermi level (states/eV per cell) = 17.6

Arrangement x

First-principles (GGA-PBE) data for an optimized crystal structure of YEr2Sc7, as listed in Alexandria.

abc: 6.017 27.046 3.326
angles: 90.00 90.00 90.00
Space group Cmmm (No. 65)
Symmetry-distinct sites (fractional):
Y: 0.000 0.000 0.000
Er: 0.000 0.289 0.500
Sc: 0.000 0.183 0.000
Sc: 0.000 0.500 0.500
Sc: 0.247 0.099 0.500

Summary:
- density of states at the Fermi level (states/eV per cell) = 29.9

Stability check: which of them is least stable? arrangement x.

Arrangement w

First-principles (GGA-PBE) data for an optimized crystal structure of Y3Er6Sc, as listed in Alexandria.

abc: 10.885 18.778 6.082
angles: 90.00 90.00 90.00
Space group Cmc2_1 (No. 36)
Symmetry-distinct sites (fractional):
Y: 0.000 0.111 0.000
Y: 0.167 0.390 0.391
Er: 0.000 0.218 0.567
Er: 0.000 0.449 0.870
Er: 0.164 0.047 0.466
Er: 0.249 0.289 0.798
Sc: 0.000 0.290 0.077

Summary:
- density of states at the Fermi level (states/eV per cell) = 64.8

Arrangement x

First-principles (GGA-PBE) data for an optimized crystal structure of Y3Er6Sc, as listed in Alexandria.

abc: 9.7041 9.7041 11.5456
angles: 90.00 90.00 120.00
Space group R3 (No. 146, hexagonal axes)
Symmetry-distinct sites (fractional):
Y: 0.0000 0.0000 0.0000
Y: 0.0000 0.0000 0.2489
Y: 0.0000 0.0000 0.5085
Er: 0.0023 0.6787 0.8473
Er: 0.0100 0.3383 0.3486
Sc: 0.0000 0.0000 0.7525

Summary:
- density of states at the Fermi level (states/eV per cell) = 58.6

Stability check: which of them is least stable? arrangement x.

Arrangement w

First-principles (GGA-PBE) data for an optimized crystal structure of YEr4Sc3, as listed in Alexandria.

abc: 5.904 5.934 6.870
angles: 90.09 90.05 109.54
Space group P-1 (No. 2)
Symmetry-distinct sites (fractional):
Y: 0.000 0.000 0.000
Er: 0.500 0.000 0.254
Er: 0.500 0.500 0.000
Er: 0.500 0.500 0.500
Sc: 0.000 0.000 0.500
Sc: 0.000 0.500 0.255

Summary:
- density of states at the Fermi level (states/eV per cell) = 12.6

Arrangement x

First-principles (GGA-PBE) data for an optimized crystal structure of YEr4Sc3, as listed in Alexandria.

abc: 10.850 6.985 6.046
angles: 90.00 90.00 90.00
Space group Pmn2_1 (No. 31)
Symmetry-distinct sites (fractional):
Y: 0.000 0.119 0.000
Er: 0.000 0.370 0.496
Er: 0.000 0.629 0.988
Er: 0.245 0.630 0.331
Sc: 0.000 0.879 0.500
Sc: 0.249 0.121 0.329

Summary:
- density of states at the Fermi level (states/eV per cell) = 30.1

Stability check: which of them is least stable? arrangement w.

Arrangement w

First-principles (GGA-PBE) data for an optimized crystal structure of Y3Er7Sc, as listed in Alexandria.

abc: 6.909 18.057 11.003
angles: 90.00 90.13 90.00
Space group C2/m (No. 12)
Symmetry-distinct sites (fractional):
Y: 0.000 0.000 0.000
Y: 0.000 0.500 0.500
Y: 0.001 0.249 0.250
Er: 0.247 0.000 0.750
Er: 0.247 0.340 0.028
Er: 0.248 0.160 0.527
Er: 0.248 0.414 0.750
Sc: 0.000 0.000 0.500
Sc: 0.000 0.500 0.000

Summary:
- density of states at the Fermi level (states/eV per cell) = 72.8

Arrangement x

First-principles (GGA-PBE) data for an optimized crystal structure of Y3Er7Sc, as listed in Alexandria.

abc: 6.9384 6.9384 8.5088
angles: 90.00 90.00 120.00
Space group P3m1 (No. 156)
Symmetry-distinct sites (fractional):
Y: 0.0016 0.5008 0.0000
Er: 0.1684 0.3369 0.6590
Er: 0.3359 0.1679 0.3336
Er: 0.6667 0.3333 0.6596
Sc: 0.3333 0.6667 0.3362

Summary:
- density of states at the Fermi level (states/eV per cell) = 17.9

Stability check: which of them is least stable? arrangement x.

Arrangement w

First-principles (GGA-PBE) data for an optimized crystal structure of YEr2Sc5, as listed in Alexandria.

abc: 6.843 10.657 11.857
angles: 90.00 90.00 90.00
Space group Fmm2 (No. 42)
Symmetry-distinct sites (fractional):
Y: 0.000 0.000 0.000
Er: 0.000 0.244 0.669
Sc: 0.000 0.000 0.498
Sc: 0.247 0.000 0.254
Sc: 0.250 0.250 0.416

Summary:
- density of states at the Fermi level (states/eV per cell) = 62.8

Arrangement x

First-principles (GGA-PBE) data for an optimized crystal structure of YEr2Sc5, as listed in Alexandria.

abc: 6.770 6.770 9.376
angles: 90.00 90.00 90.00
Space group I4mm (No. 107)
Symmetry-distinct sites (fractional):
Y: 0.000 0.000 0.000
Er: 0.000 0.500 0.000
Sc: 0.000 0.000 0.499
Sc: 0.250 0.250 0.250

Summary:
- density of states at the Fermi level (states/eV per cell) = 32.2

Stability check: which of them is least stable? arrangement x.

Arrangement w

First-principles (GGA-PBE) data for an optimized crystal structure of Y5Er5Sc2, as listed in Alexandria.

abc: 11.771 5.507 11.787
angles: 90.00 107.98 90.00
Space group C2/m (No. 12)
Symmetry-distinct sites (fractional):
Y: 0.000 0.000 0.000
Y: 0.199 0.000 0.545
Y: 0.249 0.000 0.249
Er: 0.000 0.500 0.500
Er: 0.035 0.500 0.216
Er: 0.206 0.500 0.047
Sc: 0.038 0.000 0.714

Summary:
- density of states at the Fermi level (states/eV per cell) = 47.7

Arrangement x

First-principles (GGA-PBE) data for an optimized crystal structure of Y5Er5Sc2, as listed in Alexandria.

abc: 6.043 7.820 8.562
angles: 68.53 89.89 75.04
Space group P-1 (No. 2)
Symmetry-distinct sites (fractional):
Y: 0.000 0.000 0.000
Y: 0.084 0.252 0.583
Y: 0.252 0.743 0.754
Er: 0.334 0.004 0.331
Er: 0.415 0.253 0.917
Er: 0.500 0.500 0.500
Sc: 0.164 0.500 0.164

Summary:
- density of states at the Fermi level (states/eV per cell) = 19.6

Stability check: which of them is least stable? arrangement w.